TbNd3Tl4Te8: optimized geometry, PBE.

```
TbNd3Tl4Te8
1.0
4.546 2.625 8.179
-4.546 2.625 8.179
0.000 -5.249 8.179
Tb Nd Tl Te
1 3 4 8
direct
0.000 0.000 0.000
0.000 0.500 0.500
0.500 0.000 0.500
0.500 0.500 0.000
0.000 0.000 0.500
0.000 0.500 0.000
0.500 0.000 0.000
0.500 0.500 0.500
0.236 0.236 0.745
0.236 0.745 0.236
0.255 0.764 0.764
0.260 0.260 0.260
0.740 0.740 0.740
0.745 0.236 0.236
0.764 0.255 0.764
0.764 0.764 0.255
```

Results
SG: R-3m
Magnetic moment (μB per cell): 0.00
E_form (uncorrected) (eV per atom): -1.070
Raw total energy (eV/f.u.): -70.7